Entry 1:
A relaxed structure of Nb2AlInBr, computed with PBE.

CIF file:
```
data_Nb2AlInBr
_space_group_name_H-M_alt 'P 4/m m m'
_space_group_IT_number 123
_space_group_name_Hall '-P 4 2'
_cell_length_a 4.808
_cell_length_b 4.808
_cell_length_c 4.922
_cell_angle_alpha 90.00
_cell_angle_beta 90.00
_cell_angle_gamma 90.00
loop_
_atom_site_label
_atom_site_fract_x
_atom_site_fract_y
_atom_site_fract_z
_atom_site_occupancy
Nb1 0.000 0.500 0.000 1
Al1 0.000 0.000 0.500 1
In1 0.500 0.500 0.500 1
Br1 0.000 0.000 0.000 1
```

Output
For the uncorrected formation energy, the calculation gives 1.09 eV/atom. The calculation puts the size of the total moment at 0.00 μB/atom. Its energy is -4.57 eV/atom.

---

Entry 2:
A relaxed structure of AlInNi2Br, computed with PBE.

CIF file:
```
data_AlInNi2Br
_space_group_name_H-M_alt 'P 4/m m m'
_space_group_IT_number 123
_space_group_name_Hall '-P 4 2'
_cell_length_a 4.832
_cell_length_b 4.832
_cell_length_c 5.407
_cell_angle_alpha 90.00
_cell_angle_beta 90.00
_cell_angle_gamma 90.00
loop_
_atom_site_label
_atom_site_fract_x
_atom_site_fract_y
_atom_site_fract_z
_atom_site_occupancy
Al1 0.000 0.000 0.000 1
In1 0.000 0.000 0.500 1
Ni1 0.000 0.500 0.500 1
Br1 0.500 0.500 0.000 1
```

Output
For the uncorrected formation energy, the calculation gives 0.94 eV/atom. The calculation puts the size of the total moment at 0.17 μB/atom. Its energy is -3.00 eV/atom.

---

Entry 3:
A relaxed structure of AlInP2Br, computed with PBE.

CIF file:
```
data_AlInP2Br
_space_group_name_H-M_alt 'P 4/m m m'
_space_group_IT_number 123
_space_group_name_Hall '-P 4 2'
_cell_length_a 4.952
_cell_length_b 4.952
_cell_length_c 6.177
_cell_angle_alpha 90.00
_cell_angle_beta 90.00
_cell_angle_gamma 90.00
loop_
_atom_site_label
_atom_site_fract_x
_atom_site_fract_y
_atom_site_fract_z
_atom_site_occupancy
Al1 0.000 0.000 0.000 1
In1 0.000 0.000 0.500 1
P1 0.000 0.500 0.500 1
Br1 0.500 0.500 0.000 1
```

Output
For the uncorrected formation energy, the calculation gives 0.91 eV/atom. The calculation puts the size of the total moment at 0.22 μB/atom. Its energy is -2.89 eV/atom.

---

Entry 4:
A relaxed structure of RbAl2InBr8, computed with PBE.

CIF file:
```
data_RbAl2InBr8
_space_group_name_H-M_alt 'R -3'
_space_group_IT_number 148
_space_group_name_Hall '-R 3'
_cell_length_a 7.2074
_cell_length_b 7.2074
_cell_length_c 30.7258
_cell_angle_alpha 90.00
_cell_angle_beta 90.00
_cell_angle_gamma 120.00
loop_
_atom_site_label
_atom_site_fract_x
_atom_site_fract_y
_atom_site_fract_z
_atom_site_occupancy
Rb1 0.0000 0.0000 0.0000 1
Al1 0.0000 0.0000 0.2564 1
In1 0.0000 0.0000 0.5000 1
Br1 0.0000 0.0000 0.3318 1
Br2 0.0058 0.3879 0.4352 1
```

Output
For the uncorrected formation energy, the calculation gives -1.20 eV/atom. The calculation puts the size of the total moment at 0.00 μB/atom. Its energy is -3.25 eV/atom.

---

Entry 5:
A relaxed structure of Rb2AlInBr6, computed with PBE.

CIF file:
```
data_Rb2AlInBr6
_space_group_name_H-M_alt 'F m -3 m'
_space_group_IT_number 225
_space_group_name_Hall '-F 4 2 3'
_cell_length_a 11.318
_cell_length_b 11.318
_cell_length_c 11.318
_cell_angle_alpha 90.00
_cell_angle_beta 90.00
_cell_angle_gamma 90.00
loop_
_atom_site_label
_atom_site_fract_x
_atom_site_fract_y
_atom_site_fract_z
_atom_site_occupancy
Rb1 0.250 0.250 0.250 1
Al1 0.000 0.000 0.000 1
In1 0.000 0.000 0.500 1
Br1 0.000 0.000 0.224 1
```

Output
For the uncorrected formation energy, the calculation gives -1.25 eV/atom. The calculation puts the size of the total moment at 0.00 μB/atom. Its energy is -3.10 eV/atom.

---

Entry 6:
A relaxed structure of AlIn2SBr, computed with PBE.

CIF file:
```
data_AlIn2SBr
_space_group_name_H-M_alt 'P 4/m m m'
_space_group_IT_number 123
_space_group_name_Hall '-P 4 2'
_cell_length_a 5.637
_cell_length_b 5.637
_cell_length_c 4.514
_cell_angle_alpha 90.00
_cell_angle_beta 90.00
_cell_angle_gamma 90.00
loop_
_atom_site_label
_atom_site_fract_x
_atom_site_fract_y
_atom_site_fract_z
_atom_site_occupancy
Al1 0.000 0.000 0.000 1
In1 0.000 0.500 0.000 1
S1 0.000 0.000 0.500 1
Br1 0.500 0.500 0.500 1
```

Output
For the uncorrected formation energy, the calculation gives -0.23 eV/atom. The calculation puts the size of the total moment at 0.00 μB/atom. Its energy is -3.24 eV/atom.

---

Entry 7:
A relaxed structure of AlInSeBr2, computed with PBE.

CIF file:
```
data_AlInSeBr2
_space_group_name_H-M_alt 'P 4/m m m'
_space_group_IT_number 123
_space_group_name_Hall '-P 4 2'
_cell_length_a 5.471
_cell_length_b 5.471
_cell_length_c 5.390
_cell_angle_alpha 90.00
_cell_angle_beta 90.00
_cell_angle_gamma 90.00
loop_
_atom_site_label
_atom_site_fract_x
_atom_site_fract_y
_atom_site_fract_z
_atom_site_occupancy
Al1 0.000 0.000 0.000 1
In1 0.500 0.500 0.500 1
Se1 0.500 0.500 0.000 1
Br1 0.000 0.500 0.500 1
```

Output
For the uncorrected formation energy, the calculation gives -0.14 eV/atom. The calculation puts the size of the total moment at 0.00 μB/atom. For the energy above the most stable polymorph in this dataset, the calculation gives 0.413 eV per atom. Its energy is -2.81 eV/atom.

---

Entry 8:
A relaxed structure of AlInSeBr2, computed with PBE.

CIF file:
```
data_AlInSeBr2
_space_group_name_H-M_alt 'P 4/m m m'
_space_group_IT_number 123
_space_group_name_Hall '-P 4 2'
_cell_length_a 5.238
_cell_length_b 5.238
_cell_length_c 4.935
_cell_angle_alpha 90.00
_cell_angle_beta 90.00
_cell_angle_gamma 90.00
loop_
_atom_site_label
_atom_site_fract_x
_atom_site_fract_y
_atom_site_fract_z
_atom_site_occupancy
Al1 0.000 0.000 0.000 1
In1 0.500 0.500 0.500 1
Se1 0.000 0.000 0.500 1
Br1 0.000 0.500 0.000 1
```

Output
For the uncorrected formation energy, the calculation gives -0.56 eV/atom. The calculation puts the size of the total moment at 0.00 μB/atom. For the energy above the most stable polymorph in this dataset, the calculation gives 0.000 eV per atom. Its energy is -3.22 eV/atom.

---

Entry 9:
A relaxed structure of AlInSnBr6, computed with PBE.

CIF file:
```
data_AlInSnBr6
_space_group_name_H-M_alt 'P 3 1 2'
_space_group_IT_number 149
_cell_length_a 7.2980
_cell_length_b 7.2980
_cell_length_c 6.9991
_cell_angle_alpha 90.00
_cell_angle_beta 90.00
_cell_angle_gamma 120.00
loop_
_space_group_symop_operation_xyz
'x,y,z'
'-y,x-y,z'
'-x+y,-x,z'
'-y,-x,-z'
'-x+y,y,-z'
'x,x-y,-z'
loop_
_atom_site_label
_atom_site_fract_x
_atom_site_fract_y
_atom_site_fract_z
_atom_site_occupancy
Al1 0.0000 0.0000 0.0000 1
In1 0.3333 0.6667 0.5000 1
Sn1 0.6667 0.3333 0.0000 1
Br1 0.2855 0.0081 0.2143 1
```

Output
For the uncorrected formation energy, the calculation gives -0.86 eV/atom. The calculation puts the size of the total moment at 0.00 μB/atom. Its energy is -3.14 eV/atom.

---

Entry 10:
A relaxed structure of AlInTcBr2, computed with PBE.

CIF file:
```
data_AlInTcBr2
_space_group_name_H-M_alt 'P 4/m m m'
_space_group_IT_number 123
_space_group_name_Hall '-P 4 2'
_cell_length_a 5.513
_cell_length_b 5.513
_cell_length_c 5.177
_cell_angle_alpha 90.00
_cell_angle_beta 90.00
_cell_angle_gamma 90.00
loop_
_atom_site_label
_atom_site_fract_x
_atom_site_fract_y
_atom_site_fract_z
_atom_site_occupancy
Al1 0.000 0.000 0.000 1
In1 0.000 0.000 0.500 1
Tc1 0.500 0.500 0.500 1
Br1 0.000 0.500 0.000 1
```

Output
For the uncorrected formation energy, the calculation gives 0.78 eV/atom. The calculation puts the size of the total moment at 0.99 μB/atom. Its energy is -3.26 eV/atom.

---

Entry 11:
A relaxed structure of Al2InTeBr, computed with PBE.

CIF file:
```
data_Al2InTeBr
_space_group_name_H-M_alt 'P 4/m m m'
_space_group_IT_number 123
_space_group_name_Hall '-P 4 2'
_cell_length_a 5.559
_cell_length_b 5.559
_cell_length_c 5.964
_cell_angle_alpha 90.00
_cell_angle_beta 90.00
_cell_angle_gamma 90.00
loop_
_atom_site_label
_atom_site_fract_x
_atom_site_fract_y
_atom_site_fract_z
_atom_site_occupancy
Al1 0.000 0.500 0.000 1
In1 0.000 0.000 0.500 1
Te1 0.500 0.500 0.000 1
Br1 0.500 0.500 0.500 1
```

Output
For the uncorrected formation energy, the calculation gives 0.51 eV/atom. The calculation puts the size of the total moment at 0.00 μB/atom. For the energy above the most stable polymorph in this dataset, the calculation gives 0.000 eV per atom. Its energy is -2.50 eV/atom.

---

Entry 12:
A relaxed structure of Al2InTeBr, computed with PBE.

CIF file:
```
data_Al2InTeBr
_space_group_name_H-M_alt 'P 4/m m m'
_space_group_IT_number 123
_space_group_name_Hall '-P 4 2'
_cell_length_a 5.489
_cell_length_b 5.489
_cell_length_c 5.767
_cell_angle_alpha 90.00
_cell_angle_beta 90.00
_cell_angle_gamma 90.00
loop_
_atom_site_label
_atom_site_fract_x
_atom_site_fract_y
_atom_site_fract_z
_atom_site_occupancy
Al1 0.000 0.500 0.000 1
In1 0.000 0.000 0.500 1
Te1 0.500 0.500 0.500 1
Br1 0.500 0.500 0.000 1
```

Output
For the uncorrected formation energy, the calculation gives 0.59 eV/atom. The calculation puts the size of the total moment at 0.00 μB/atom. For the energy above the most stable polymorph in this dataset, the calculation gives 0.081 eV per atom. Its energy is -2.41 eV/atom.

---

Entry 13:
A relaxed structure of AlTl2InBr6, computed with PBE.

CIF file:
```
data_AlTl2InBr6
_space_group_name_H-M_alt 'R 3'
_space_group_IT_number 146
_space_group_name_Hall 'R 3'
_cell_length_a 7.9276
_cell_length_b 7.9276
_cell_length_c 19.6280
_cell_angle_alpha 90.00
_cell_angle_beta 90.00
_cell_angle_gamma 120.00
loop_
_atom_site_label
_atom_site_fract_x
_atom_site_fract_y
_atom_site_fract_z
_atom_site_occupancy
Al1 0.0000 0.0000 0.0000 1
Tl1 0.0000 0.0000 0.2939 1
Tl2 0.0000 0.0000 0.7847 1
In1 0.0000 0.0000 0.5071 1
Br1 0.0441 0.4390 0.7384 1
Br2 0.1049 0.7206 0.5883 1
```

Output
For the uncorrected formation energy, the calculation gives -0.88 eV/atom. The calculation puts the size of the total moment at 0.00 μB/atom. Its energy is -3.01 eV/atom.

---

Entry 14:
A relaxed structure of Al2TlInBr8, computed with PBE.

CIF file:
```
data_Al2TlInBr8
_space_group_name_H-M_alt 'R -3'
_space_group_IT_number 148
_space_group_name_Hall '-R 3'
_cell_length_a 7.1657
_cell_length_b 7.1657
_cell_length_c 29.9692
_cell_angle_alpha 90.00
_cell_angle_beta 90.00
_cell_angle_gamma 120.00
loop_
_atom_site_label
_atom_site_fract_x
_atom_site_fract_y
_atom_site_fract_z
_atom_site_occupancy
Al1 0.0000 0.0000 0.2414 1
Tl1 0.0000 0.0000 0.5000 1
In1 0.0000 0.0000 0.0000 1
Br1 0.0000 0.0000 0.1643 1
Br2 0.0014 0.3916 0.9340 1
```

Output
For the uncorrected formation energy, the calculation gives -1.03 eV/atom. The calculation puts the size of the total moment at 0.00 μB/atom. Its energy is -3.20 eV/atom.

---

Entry 15:
A relaxed structure of AlZnIn2Br, computed with PBE.

CIF file:
```
data_AlZnIn2Br
_space_group_name_H-M_alt 'P 4/m m m'
_space_group_IT_number 123
_space_group_name_Hall '-P 4 2'
_cell_length_a 5.945
_cell_length_b 5.945
_cell_length_c 4.990
_cell_angle_alpha 90.00
_cell_angle_beta 90.00
_cell_angle_gamma 90.00
loop_
_atom_site_label
_atom_site_fract_x
_atom_site_fract_y
_atom_site_fract_z
_atom_site_occupancy
Al1 0.000 0.000 0.000 1
Zn1 0.500 0.500 0.000 1
In1 0.000 0.500 0.500 1
Br1 0.500 0.500 0.500 1
```

Output
For the uncorrected formation energy, the calculation gives 0.60 eV/atom. The calculation puts the size of the total moment at 0.00 μB/atom. Its energy is -1.83 eV/atom.

---

Entry 16:
A relaxed structure of AlIr2Br, computed with PBE.

CIF file:
```
data_AlIr2Br
_space_group_name_H-M_alt 'I 4/m m m'
_space_group_IT_number 139
_space_group_name_Hall '-I 4 2'
_cell_length_a 4.174
_cell_length_b 4.174
_cell_length_c 7.229
_cell_angle_alpha 90.00
_cell_angle_beta 90.00
_cell_angle_gamma 90.00
loop_
_atom_site_label
_atom_site_fract_x
_atom_site_fract_y
_atom_site_fract_z
_atom_site_occupancy
Al1 0.000 0.000 0.000 1
Ir1 0.000 0.500 0.250 1
Br1 0.000 0.000 0.500 1
```

Output
For the uncorrected formation energy, the calculation gives 0.54 eV/atom. The calculation puts the size of the total moment at 0.00 μB/atom. For the energy above the most stable polymorph in this dataset, the calculation gives 0.491 eV per atom. Its energy is -5.24 eV/atom.

---

Entry 17:
A relaxed structure of AlIr2Br, computed with PBE.

CIF file:
```
data_AlIr2Br
_space_group_name_H-M_alt 'P m m 2'
_space_group_IT_number 25
_cell_length_a 2.952
_cell_length_b 3.967
_cell_length_c 5.586
_cell_angle_alpha 90.00
_cell_angle_beta 90.00
_cell_angle_gamma 90.00
loop_
_space_group_symop_operation_xyz
'x,y,z'
'-x,-y,z'
'-x,y,z'
'x,-y,z'
loop_
_atom_site_label
_atom_site_fract_x
_atom_site_fract_y
_atom_site_fract_z
_atom_site_occupancy
Al1 0.000 0.000 0.000 1
Ir1 0.000 0.000 0.538 1
Ir2 0.500 0.500 0.841 1
Br1 0.500 0.500 0.374 1
```

Output
For the uncorrected formation energy, the calculation gives 0.37 eV/atom. The calculation puts the size of the total moment at 0.00 μB/atom. For the energy above the most stable polymorph in this dataset, the calculation gives 0.321 eV per atom. Its energy is -5.41 eV/atom.

---

Entry 18:
A relaxed structure of AlIr3Br, computed with PBE.

CIF file:
```
data_AlIr3Br
_space_group_name_H-M_alt 'P m -3 m'
_space_group_IT_number 221
_space_group_name_Hall '-P 4 2 3'
_cell_length_a 4.588
_cell_length_b 4.588
_cell_length_c 4.588
_cell_angle_alpha 90.00
_cell_angle_beta 90.00
_cell_angle_gamma 90.00
loop_
_atom_site_label
_atom_site_fract_x
_atom_site_fract_y
_atom_site_fract_z
_atom_site_occupancy
Al1 0.000 0.000 0.000 1
Ir1 0.000 0.000 0.500 1
Br1 0.500 0.500 0.500 1
```

Output
For the uncorrected formation energy, the calculation gives 1.47 eV/atom. The calculation puts the size of the total moment at 0.55 μB/atom. For the energy above the most stable polymorph in this dataset, the calculation gives 0.000 eV per atom. Its energy is -4.93 eV/atom.

---

Entry 19:
A relaxed structure of AlIrBr2, computed with PBE.

CIF file:
```
data_AlIrBr2
_space_group_name_H-M_alt 'I -4 2 d'
_space_group_IT_number 122
_space_group_name_Hall 'I -4 2bw'
_cell_length_a 4.534
_cell_length_b 4.534
_cell_length_c 16.770
_cell_angle_alpha 90.00
_cell_angle_beta 90.00
_cell_angle_gamma 90.00
loop_
_atom_site_label
_atom_site_fract_x
_atom_site_fract_y
_atom_site_fract_z
_atom_site_occupancy
Al1 0.000 0.000 0.000 1
Ir1 0.000 0.000 0.500 1
Br1 0.240 0.250 0.625 1
```

Output
For the uncorrected formation energy, the calculation gives 0.60 eV/atom. The calculation puts the size of the total moment at 0.00 μB/atom. For the energy above the most stable polymorph in this dataset, the calculation gives 0.898 eV per atom. Its energy is -3.38 eV/atom.

---

Entry 20:
A relaxed structure of AlIrBr2, computed with PBE.

CIF file:
```
data_AlIrBr2
_space_group_name_H-M_alt 'P 1 2/m 1'
_space_group_IT_number 10
_cell_length_a 4.928
_cell_length_b 3.781
_cell_length_c 7.062
_cell_angle_alpha 90.00
_cell_angle_beta 110.17
_cell_angle_gamma 90.00
loop_
_space_group_symop_operation_xyz
'x,y,z'
'-x,-y,-z'
'-x,y,-z'
'x,-y,z'
loop_
_atom_site_label
_atom_site_fract_x
_atom_site_fract_y
_atom_site_fract_z
_atom_site_occupancy
Al1 0.000 0.000 0.000 1
Ir1 0.500 0.000 0.000 1
Br1 0.373 0.500 0.740 1
```

Output
For the uncorrected formation energy, the calculation gives 0.03 eV/atom. The calculation puts the size of the total moment at 0.00 μB/atom. For the energy above the most stable polymorph in this dataset, the calculation gives 0.321 eV per atom. Its energy is -3.96 eV/atom.